Lu2Zn3Mo4N3 after structural relaxation. Source: the Open Quantum Materials Database, functional PBE-GGA.

Structure (CIF):
```
data_Lu2Zn3Mo4N3
_chemical_formula_sum 'Lu8 Zn12 Mo16 N12'
_cell_length_a 9.447
_cell_length_b 5.486
_cell_length_c 13.572
_cell_angle_alpha 90.00
_cell_angle_beta 103.27
_cell_angle_gamma 90.00
_space_group_name_H-M_alt 'C 1 2/c 1'
_space_group_IT_number 15
_space_group_name_Hall '-C 2yc'
loop_
_atom_site_label
_atom_site_type_symbol
_atom_site_fract_x
_atom_site_fract_y
_atom_site_fract_z
Lu1 Lu 0.044 0.083 0.387
Zn1 Zn 0.000 0.431 0.750
Zn2 Zn 0.242 0.156 0.750
Mo1 Mo 0.110 0.427 0.576
Mo2 Mo 0.219 0.416 0.925
N1 N 0.077 0.231 0.000
N2 N 0.250 0.250 0.500
```

The calculated density comes out at 9.429 g/cm3. As for the calculated total energy: -7.293 eV per atom.

GeW3N2 after structural relaxation. Source: the Open Quantum Materials Database, functional PBE-GGA.

Structure (CIF):
```
data_GeW3N2
_chemical_formula_sum 'Ge2 W6 N4'
_cell_length_a 3.1474
_cell_length_b 3.1474
_cell_length_c 17.2119
_cell_angle_alpha 90.00
_cell_angle_beta 90.00
_cell_angle_gamma 120.00
_space_group_name_H-M_alt 'P 63/m m c'
_space_group_IT_number 194
_space_group_name_Hall '-P 6c 2c'
loop_
_atom_site_label
_atom_site_type_symbol
_atom_site_fract_x
_atom_site_fract_y
_atom_site_fract_z
Ge1 Ge 0.0000 0.0000 0.2500
W1 W 0.0000 0.0000 0.0000
W2 W 0.3333 0.6667 0.1358
N1 N 0.3333 0.6667 0.5695
```

The calculated density comes out at 14.669 g/cm3. As for the calculated total energy: -9.695 eV per atom.

NdThB after structural relaxation. Source: the Open Quantum Materials Database, functional PBE-GGA.

Structure (CIF):
```
data_NdThB
_chemical_formula_sum 'Nd4 Th4 B4'
_cell_length_a 6.576
_cell_length_b 6.576
_cell_length_c 6.576
_cell_angle_alpha 90.00
_cell_angle_beta 90.00
_cell_angle_gamma 90.00
_space_group_name_H-M_alt 'F -4 3 m'
_space_group_IT_number 216
_space_group_name_Hall 'F -4 2 3'
loop_
_atom_site_label
_atom_site_type_symbol
_atom_site_fract_x
_atom_site_fract_y
_atom_site_fract_z
Nd1 Nd 0.000 0.000 0.000
Th1 Th 0.000 0.000 0.500
B1 B 0.250 0.250 0.250
```

The calculated density comes out at 9.041 g/cm3. As for the calculated total energy: -6.114 eV per atom. For the energy relative to the lowest polymorph listed for this composition, the calculation gives 0.0 meV per atom.

ZrNi3Ge4 after structural relaxation. Source: the Open Quantum Materials Database, functional PBE-GGA.

Structure (CIF):
```
data_ZrNi3Ge4
_chemical_formula_sum 'Zr1 Ni3 Ge4'
_cell_length_a 5.928
_cell_length_b 3.343
_cell_length_c 6.404
_cell_angle_alpha 90.00
_cell_angle_beta 91.39
_cell_angle_gamma 90.00
_space_group_name_H-M_alt 'P 1 m 1'
_space_group_IT_number 6
_space_group_name_Hall 'P -2y'
loop_
_atom_site_label
_atom_site_type_symbol
_atom_site_fract_x
_atom_site_fract_y
_atom_site_fract_z
Zr1 Zr 0.000 0.000 0.000
Ni1 Ni 0.003 0.500 0.383
Ni2 Ni 0.516 0.000 0.888
Ni3 Ni 0.526 0.500 0.498
Ge1 Ge 0.232 0.500 0.739
Ge2 Ge 0.322 0.000 0.299
Ge3 Ge 0.661 0.500 0.143
Ge4 Ge 0.809 0.000 0.601
```

The calculated density comes out at 7.300 g/cm3. As for the calculated total energy: -5.691 eV per atom.

PmAgSO after structural relaxation. Source: the Open Quantum Materials Database, functional PBE-GGA.

Structure (CIF):
```
data_PmAgSO
_chemical_formula_sum 'Pm4 Ag4 S4 O4'
_cell_length_a 7.298
_cell_length_b 6.100
_cell_length_c 6.517
_cell_angle_alpha 90.00
_cell_angle_beta 90.00
_cell_angle_gamma 90.00
_space_group_name_H-M_alt 'P c a 21'
_space_group_IT_number 29
_space_group_name_Hall 'P 2c -2ac'
loop_
_atom_site_label
_atom_site_type_symbol
_atom_site_fract_x
_atom_site_fract_y
_atom_site_fract_z
Pm1 Pm 0.103 0.138 0.000
Ag1 Ag 0.235 0.625 0.167
S1 S 0.063 0.392 0.417
O1 O 0.164 0.988 0.680
```

The calculated density comes out at 6.889 g/cm3. As for the calculated total energy: -5.868 eV per atom. For the energy relative to the lowest polymorph listed for this composition, the calculation gives 231.8 meV per atom.

MgCdFePb after structural relaxation. Source: the Open Quantum Materials Database, functional PBE-GGA.

Structure (CIF):
```
data_MgCdFePb
_chemical_formula_sum 'Mg4 Cd4 Fe4 Pb4'
_cell_length_a 6.903
_cell_length_b 6.903
_cell_length_c 6.903
_cell_angle_alpha 90.00
_cell_angle_beta 90.00
_cell_angle_gamma 90.00
_space_group_name_H-M_alt 'F -4 3 m'
_space_group_IT_number 216
_space_group_name_Hall 'F -4 2 3'
loop_
_atom_site_label
_atom_site_type_symbol
_atom_site_fract_x
_atom_site_fract_y
_atom_site_fract_z
Mg1 Mg 0.000 0.000 0.000
Cd1 Cd 0.250 0.250 0.750
Fe1 Fe 0.000 0.000 0.500
Pb1 Pb 0.250 0.250 0.250
```

The calculated density comes out at 8.071 g/cm3. As for the calculated total energy: -3.250 eV per atom. For the energy relative to the lowest polymorph listed for this composition, the calculation gives 0.0 meV per atom.

Repeat the first record exactly.
Lu2Zn3Mo4N3 after structural relaxation. Source: the Open Quantum Materials Database, functional PBE-GGA.

Structure (CIF):
```
data_Lu2Zn3Mo4N3
_chemical_formula_sum 'Lu8 Zn12 Mo16 N12'
_cell_length_a 9.447
_cell_length_b 5.486
_cell_length_c 13.572
_cell_angle_alpha 90.00
_cell_angle_beta 103.27
_cell_angle_gamma 90.00
_space_group_name_H-M_alt 'C 1 2/c 1'
_space_group_IT_number 15
_space_group_name_Hall '-C 2yc'
loop_
_atom_site_label
_atom_site_type_symbol
_atom_site_fract_x
_atom_site_fract_y
_atom_site_fract_z
Lu1 Lu 0.044 0.083 0.387
Zn1 Zn 0.000 0.431 0.750
Zn2 Zn 0.242 0.156 0.750
Mo1 Mo 0.110 0.427 0.576
Mo2 Mo 0.219 0.416 0.925
N1 N 0.077 0.231 0.000
N2 N 0.250 0.250 0.500
```

The calculated density comes out at 9.429 g/cm3. As for the calculated total energy: -7.293 eV per atom.